Computed, not measured: Er2Zr3Ge4 after structural relaxation at the PBE-GGA level of DFT.

Summary:
- DOS at the Fermi energy (states/eV/f.u.) = 6.60
- electronic total energy (Ha/atom) = -0.250
- crystal system = monoclinic
- E_form (eV/atom) = -0.8851

Lattice parameters (Å, degrees): 7.2161 7.4336 7.4265 90.00 90.00 109.53
With the nearest neighbours (Å) after each atom.
Sites, in units of the cell vectors:
Er  0.4348  0.8108  0.6730  7 Ge 2.90-3.23
Zr  0.7524  0.7483  0.3230  6 Ge 2.73-2.90
Zr  0.0000  0.5000  0.5000  6 Ge 2.84-2.94
Ge  0.8534  0.0822  0.5331  4 Zr 2.73-2.94, 1 Ge 2.82, 2 Er 2.90-3.05
Ge  0.1466  0.9178  0.4669  4 Zr 2.73-2.94, 1 Ge 2.82, 2 Er 2.90-3.05
Er  0.9348  0.8108  0.8270  7 Ge 2.90-3.23
Er  0.5652  0.1892  0.3270  7 Ge 2.90-3.23
Zr  0.2476  0.2517  0.6770  6 Ge 2.73-2.90
Ge  0.6466  0.9178  0.0331  4 Zr 2.73-2.94, 1 Ge 2.82, 2 Er 2.90-3.05
Ge  0.3640  0.4861  0.3677  1 Ge 2.74, 5 Zr 2.74-2.89, 2 Er 2.90-3.04
Ge  0.8640  0.4861  0.1323  1 Ge 2.74, 5 Zr 2.74-2.89, 2 Er 2.90-3.04
Ge  0.3534  0.0822  0.9669  4 Zr 2.73-2.94, 1 Ge 2.82, 2 Er 2.90-3.05
Zr  0.7476  0.2517  0.8230  6 Ge 2.73-2.90
Ge  0.1360  0.5139  0.8677  1 Ge 2.74, 5 Zr 2.74-2.89, 2 Er 2.90-3.04
Zr  0.5000  0.5000  0.0000  6 Ge 2.84-2.94
Zr  0.2524  0.7483  0.1770  6 Ge 2.73-2.90
Er  0.0652  0.1892  0.1730  7 Ge 2.90-3.23
Ge  0.6360  0.5139  0.6323  1 Ge 2.74, 5 Zr 2.74-2.89, 2 Er 2.90-3.04


Computed, not measured: FeTcNi after structural relaxation at the PBE-GGA level of DFT.

Summary:
- DOS at the Fermi energy (states/eV/f.u.) = 3.70
- electronic total energy (Ha/atom) = -0.300
- crystal system = orthorhombic
- E_form (eV/atom) = 0.0477

Lattice parameters (Å, degrees): 4.4499 4.4499 4.4499 146.72 130.49 60.97
With the nearest neighbours (Å) after each atom.
Sites, in units of the cell vectors:
Ni  0.3345  0.3345  0.0000  2 Ni 2.55, 5 Tc 2.55-2.60, 5 Fe 2.58
Tc  0.6672  0.6672  0.0000  5 Fe 2.54-2.60, 2 Tc 2.55, 5 Ni 2.55-2.60
Fe  0.9983  0.9983  0.0000  5 Tc 2.54-2.60, 2 Fe 2.55, 5 Ni 2.58


Computed, not measured: LiAlSnS4 after structural relaxation at the PBE-GGA level of DFT.

Summary:
- electronic total energy (Ha/atom) = -0.170
- crystal system = orthorhombic
- E_form (uncorrected) (meV/atom) = -875

Lattice parameters (Å, degrees): 7.2198 7.3588 7.3588 61.54 60.62 60.62
With the nearest neighbours (Å) after each atom.
Sites, in units of the cell vectors:
S  0.7668  0.2371  0.7371  1 Li 2.42, 1 Al 2.46, 2 Sn 2.59
S  0.7410  0.7629  0.2629  1 Li 2.42, 1 Al 2.46, 2 Sn 2.59
S  0.2463  0.7827  0.7247  1 Li 2.41, 2 Al 2.46, 1 Sn 2.57
Al  0.0000  0.0000  0.5000  6 S 2.46
S  0.2332  0.7629  0.2629  1 Li 2.42, 1 Al 2.46, 2 Sn 2.59
S  0.7537  0.7753  0.7173  1 Li 2.41, 2 Al 2.46, 1 Sn 2.57
Li  0.3609  0.3891  0.8891  4 S 2.41-2.42
Al  0.5000  0.0000  0.5000  6 S 2.46
Li  0.6391  0.6109  0.1109  4 S 2.41-2.42
S  0.7537  0.2173  0.2753  1 Li 2.41, 2 Al 2.46, 1 Sn 2.57
Sn  0.0000  0.0000  0.0000  6 S 2.57-2.59
Sn  0.0000  0.5000  0.5000  6 S 2.57-2.59
S  0.2590  0.2371  0.7371  1 Li 2.42, 1 Al 2.46, 2 Sn 2.59
S  0.2463  0.2247  0.2827  1 Li 2.41, 2 Al 2.46, 1 Sn 2.57


Computed, not measured: NpGe2I8 after structural relaxation at the PBE-GGA level of DFT.

Summary:
- DOS at the Fermi energy (states/eV/f.u.) = 3.67
- electronic total energy (Ha/atom) = -0.133
- crystal system = monoclinic
- E_form (uncorrected) (meV/atom) = -471

Lattice parameters (Å, degrees): 8.2110 8.6532 8.6532 82.74 102.49 102.49
With the nearest neighbours (Å) after each atom.
Sites, in units of the cell vectors:
Ge  0.6131  0.1601  0.1601  3 I 2.61-2.91
I  0.7902  0.2572  0.8957  1 Ge 2.91, 1 Np 3.04
I  0.2098  0.1043  0.7428  1 Ge 2.91, 1 Np 3.04
I  0.7891  0.3625  0.3625  1 Ge 2.61
Np  0.0000  0.0000  0.0000  6 I 2.98-3.04
I  0.2109  0.6375  0.6375  1 Ge 2.61
I  0.2532  0.2168  0.2168  1 Np 2.98, 1 Ge 3.24
I  0.7468  0.7832  0.7832  1 Np 2.98, 1 Ge 3.24
Ge  0.3869  0.8399  0.8399  3 I 2.61-2.91
I  0.7902  0.8957  0.2572  1 Ge 2.91, 1 Np 3.04
I  0.2098  0.7428  0.1043  1 Ge 2.91, 1 Np 3.04


Computed, not measured: LaTeSe after structural relaxation at the PBE-GGA level of DFT.

Summary:
- DOS at the Fermi energy (states/eV/f.u.) = 4.29
- electronic total energy (Ha/atom) = -0.188
- crystal system = cubic
- E_form (uncorrected) (meV/atom) = -1253

Lattice parameters (Å, degrees): 5.2437 5.2437 5.2437 60.00 60.00 60.00
With the nearest neighbours (Å) after each atom.
Sites, in units of the cell vectors:
La  0.7500  0.7500  0.7500  4 Se 3.21, 4 Te 3.21
Te  0.5000  0.5000  0.5000  4 La 3.21
Se  0.0000  0.0000  0.0000  4 La 3.21


Computed, not measured: Be2Fe2Cu after structural relaxation at the PBE-GGA level of DFT.

Summary:
- DOS at the Fermi energy (states/eV/f.u.) = 3.74
- electronic total energy (Ha/atom) = -0.191
- crystal system = tetragonal
- E_form (eV/atom) = 0.4838

Lattice parameters (Å, degrees): 4.4877 4.4877 4.4877 128.74 128.74 75.43
With the nearest neighbours (Å) after each atom.
Sites, in units of the cell vectors:
Fe  0.6454  0.6454  0.0000  1 Fe 2.06, 4 Be 2.08
Fe  0.3546  0.3546  0.0000  1 Fe 2.06, 4 Be 2.08
Be  0.7500  0.2500  0.5000  4 Fe 2.08
Cu  0.0000  0.0000  0.0000  2 Fe 2.52, 8 Be 2.63
Be  0.2500  0.7500  0.5000  4 Fe 2.08


Computed, not measured: HfTaTiVGa after structural relaxation at the PBE-GGA level of DFT.

Summary:
- DOS at the Fermi energy (states/eV/f.u.) = 6.06
- electronic total energy (Ha/atom) = -0.311
- crystal system = monoclinic
- E_form (eV/atom) = -0.0824

Lattice parameters (Å, degrees): 7.0152 3.3722 9.9882 90.00 133.00 90.00
With the nearest neighbours (Å) after each atom.
Sites, in units of the cell vectors:
Hf  0.2668  0.5000  0.3293  3 Ti 2.91-3.00, 3 V 2.92-3.23, 3 Ta 2.94-3.10, 3 Ga 2.95-3.00
Ga  0.0620  0.0000  0.0124  2 V 2.68, 2 Ti 2.79, 2 Ta 2.85, 3 Hf 2.95-3.00
Ta  0.4903  0.5000  0.1483  2 V 2.64, 2 Ga 2.85, 2 Hf 2.94
V  0.8476  0.5000  0.7320  2 Ta 2.64, 2 Ti 2.66, 2 Ga 2.68, 2 Hf 2.92
Ta  0.4903  0.0000  0.6483  2 V 2.64, 2 Ga 2.85, 2 Hf 2.94
V  0.8476  0.0000  0.2320  2 Ta 2.64, 2 Ti 2.66, 2 Ga 2.68, 2 Hf 2.92
Hf  0.2668  0.0000  0.8293  3 Ti 2.91-3.00, 3 V 2.92-3.23, 3 Ta 2.94-3.10, 3 Ga 2.95-3.00
Ga  0.0620  0.5000  0.5124  2 V 2.68, 2 Ti 2.79, 2 Ta 2.85, 3 Hf 2.95-3.00
Ti  0.7080  0.0000  0.4716  2 V 2.66, 2 Ga 2.79, 2 Hf 2.91, 2 Ta 2.98
Ti  0.7080  0.5000  0.9716  2 V 2.66, 2 Ga 2.79, 2 Hf 2.91, 2 Ta 2.98


Computed, not measured: Ba3Pu4O12 after structural relaxation at the PBE-GGA level of DFT.

Summary:
- DOS at the Fermi energy (states/eV/f.u.) = 14.82
- electronic total energy (Ha/atom) = -0.346
- crystal system = cubic
- E_form (uncorrected) (meV/atom) = -2953

Lattice parameters (Å, degrees): 7.5211 7.5211 7.5211 109.47 109.47 109.47
With the nearest neighbours (Å) after each atom.
Sites, in units of the cell vectors:
O  0.7534  0.7279  0.4813  2 Pu 2.18
O  0.7279  0.4813  0.7534  2 Pu 2.18
O  0.0256  0.7534  0.2721  2 Pu 2.18
O  0.9744  0.2466  0.7279  2 Pu 2.18
Ba  0.5000  0.5000  0.0000  12 O 2.92-3.23
O  0.4813  0.7534  0.7279  2 Pu 2.18
Ba  0.5000  0.0000  0.5000  12 O 2.92-3.23
Pu  0.0000  0.0000  0.5000  6 O 2.18
O  0.2466  0.7279  0.9744  2 Pu 2.18
O  0.5187  0.2466  0.2721  2 Pu 2.18
O  0.7279  0.9744  0.2466  2 Pu 2.18
O  0.7534  0.2721  0.0256  2 Pu 2.18
Pu  0.5000  0.0000  0.0000  6 O 2.18
O  0.2721  0.5187  0.2466  2 Pu 2.18
O  0.2721  0.0256  0.7534  2 Pu 2.18
Pu  0.0000  0.5000  0.0000  6 O 2.18
O  0.2466  0.2721  0.5187  2 Pu 2.18
Pu  0.5000  0.5000  0.5000  6 O 2.18
Ba  0.0000  0.5000  0.5000  12 O 2.92-3.23


Computed, not measured: BaSi3C after structural relaxation at the PBE-GGA level of DFT.

Summary:
- DOS at the Fermi energy (states/eV/f.u.) = 3.96
- electronic total energy (Ha/atom) = -0.167
- crystal system = cubic
- E_form (uncorrected) (meV/atom) = 935

Lattice parameters (Å, degrees): 4.5437 4.5437 4.5437 90.00 90.00 90.00
With the nearest neighbours (Å) after each atom.
Sites, in units of the cell vectors:
Ba  0.5000  0.5000  0.5000  12 Si 3.21
Si  0.0000  0.0000  0.5000  2 C 2.27
Si  0.5000  0.0000  0.0000  2 C 2.27
Si  0.0000  0.5000  0.0000  2 C 2.27
C  0.0000  0.0000  0.0000  6 Si 2.27


Computed, not measured: Cs2LiTe4As after structural relaxation at the PBE-GGA level of DFT.

Summary:
- electronic total energy (Ha/atom) = -0.117
- crystal system = orthorhombic
- E_form (uncorrected) (meV/atom) = -578

Lattice parameters (Å, degrees): 6.7824 8.3495 14.2442 84.45 76.23 66.04
With the nearest neighbours (Å) after each atom.
Sites, in units of the cell vectors:
Li  0.0000  0.0000  0.0000  4 Te 2.85
Cs  0.9335  0.5000  0.1329  8 Te 3.95-4.33
Te  0.8786  0.6965  0.6079  1 As 2.59, 1 Li 2.85
Te  0.5135  0.3035  0.6079  1 As 2.59, 1 Li 2.85
Te  0.3252  0.8035  0.1079  1 As 2.59, 1 Li 2.85
Te  0.8714  0.8035  0.8921  1 As 2.59, 1 Li 2.85
Te  0.1831  0.3035  0.3921  1 As 2.59, 1 Li 2.85
Li  0.7500  0.5000  0.5000  4 Te 2.85
As  0.5000  0.0000  0.0000  4 Te 2.59
Te  0.2365  0.1965  0.8921  1 As 2.59, 1 Li 2.85
Cs  0.8165  0.0000  0.3671  8 Te 3.95-4.33
As  0.2500  0.5000  0.5000  4 Te 2.59
Te  0.5669  0.1965  0.1079  1 As 2.59, 1 Li 2.85
Cs  0.1835  0.0000  0.6329  8 Te 3.95-4.33
Cs  0.5665  0.5000  0.8671  8 Te 3.95-4.33
Te  0.4248  0.6965  0.3921  1 As 2.59, 1 Li 2.85